(1)
The following is a PBE calculation of a geometry-optimized Y5P structure, from Alexandria via LeMat-Bulk.

a = 3.6060 Å, b = 3.6060 Å, c = 13.1714 Å
α = 90.00°, β = 90.00°, γ = 90.00°
Atoms (fractional coordinates):
Y 0.0000 0.0000 0.0000
Y 0.0000 0.0000 0.3821
Y 0.0000 0.0000 0.6179
Y 0.5000 0.5000 0.1907
Y 0.5000 0.5000 0.8093
P 0.5000 0.5000 0.5000

Results
E above lowest polymorph = 33 meV/atom
crystal system = tetragonal

***

(2)
The following is a PBE calculation of a geometry-optimized YP5 structure, from Alexandria via LeMat-Bulk.

a = 3.6118 Å, b = 3.6118 Å, c = 9.9548 Å
α = 90.00°, β = 90.00°, γ = 90.00°
Atoms (fractional coordinates):
Y 0.0000 0.0000 0.0000
P 0.0000 0.0000 0.3935
P 0.0000 0.0000 0.6065
P 0.5000 0.5000 0.1119
P 0.5000 0.5000 0.5000
P 0.5000 0.5000 0.8881

Results
E above lowest polymorph = 536 meV/atom
crystal system = tetragonal

***

(3)
The following is a PBE calculation of a geometry-optimized YP3 structure, from Alexandria via LeMat-Bulk.

a = 5.3201 Å, b = 5.3201 Å, c = 5.3201 Å
α = 90.00°, β = 90.00°, γ = 90.00°
Atoms (fractional coordinates):
Y 0.0000 0.0000 0.0000
P 0.0000 0.0000 0.5000
P 0.0000 0.5000 0.0000
P 0.5000 0.0000 0.0000

Results
crystal system = cubic

***

Energy relative to the elements for every record listed, in sequence, given in kJ per mole of atoms: -35.8, -0.4, 85.4.